# 1
A relaxed HoErPbSe crystal. Source: the Alexandria database, functional GGA-PBE.

Lattice parameters (Å, degrees): 4.2645 4.2645 6.0108 90.00 90.00 90.00
Last column: nearest neighbours and their distance in Å.
Space group P4/mmm (No. 123)
Inequivalent atoms, fractional coordinates:
Ho1 0.0000 0.0000 0.0000 x1  2 Se 3.01, 4 Pb 3.02
Er1 0.5000 0.5000 0.5000 x1  2 Pb 3.01, 4 Se 3.02
Pb1 0.5000 0.5000 0.0000 x1  2 Er 3.01, 4 Ho 3.02
Se1 0.0000 0.0000 0.5000 x1  2 Ho 3.01, 4 Er 3.02

Values from the calculation:
**D(E_F)**: 0.222 states/eV per atom
**Energy**: -0.3795 Ry per atom
**Energy relative to the elements, uncorrected**: -1.079 eV/atom
**Volume**: 27.3 Å³ per atom

***

# 2
A relaxed Li2AsRu crystal. Source: the Alexandria database, functional GGA-PBE.

Lattice parameters (Å, degrees): 2.8591 4.1619 4.8433 90.00 90.00 90.00
Last column: nearest neighbours and their distance in Å.
Space group Pmmm (No. 47)
Inequivalent atoms, fractional coordinates:
Li1 0.0000 0.0000 0.2416 x2  2 Li 2.34-2.50
As1 0.5000 0.5000 0.5000 x1  2 Ru 2.42
Ru1 0.5000 0.5000 0.0000 x1  2 As 2.42

Values from the calculation:
**D(E_F)**: 0.651 states/eV per atom
**Formation enthalpy at 0 K**: -0.5 eV per formula unit
**Energy**: -0.3363 Ry per atom
**Volume**: 14.4 Å³ per atom

***

# 3
A relaxed Sc2TlZn crystal. Source: the Alexandria database, functional GGA-PBE.

Lattice parameters (Å, degrees): 7.0414 7.0414 7.0414 90.00 90.00 90.00
Last column: nearest neighbours and their distance in Å.
Space group F-43m (No. 216)
Inequivalent atoms, fractional coordinates:
Sc1 0.0000 0.0000 0.0000 x4  4 Zn 3.05, 4 Sc 3.05
Sc2 0.2500 0.2500 0.2500 x4  4 Tl 3.05, 4 Sc 3.05
Tl1 0.0000 0.0000 0.5000 x4  4 Sc 3.05, 4 Zn 3.05
Zn1 0.2500 0.2500 0.7500 x4  4 Tl 3.05, 4 Sc 3.05

Values from the calculation:
**D(E_F)**: 1.705 states/eV per atom
**Formation enthalpy at 0 K**: 0.5 eV per formula unit
**Energy**: -0.2912 Ry per atom
**Volume**: 21.8 Å³ per atom

***

# 4
A relaxed Sr2In5Hg crystal. Source: the Alexandria database, functional GGA-PBE.

Lattice parameters (Å, degrees): 6.8546 6.8546 9.7670 90.00 90.00 90.00
Last column: nearest neighbours and their distance in Å.
Space group I4mm (No. 107)
Inequivalent atoms, fractional coordinates:
Sr1 0.0000 0.5000 0.0000 x4  10 In 3.43-3.44, 2 Hg 3.44
In1 0.0000 0.0000 0.0219 x2  8 In 3.36-3.53, 4 Sr 3.43
In2 0.2397 0.2397 0.7497 x8  6 In 3.29-3.57, 2 Hg 3.35-3.55, 4 Sr 3.44
Hg1 0.0000 0.0000 0.4745 x2  8 In 3.35-3.55, 4 Sr 3.44

Values from the calculation:
**Distance to the lowest polymorph of the same formula**: 33 kJ/mol of formula units
**D(E_F)**: 0.554 states/eV per atom
**Formation enthalpy at 0 K**: -2.4 eV per formula unit
**Energy**: -0.1818 Ry per atom
**Volume**: 28.7 Å³ per atom